First-principles (PBE-GGA) data for an optimized crystal structure of Na2AlCr2Se6, as listed in Alexandria via LeMat-Bulk.

Geometry as POSCAR:
```
Na2AlCr2Se6
1.0
3.155 -5.496 0.000
3.155 5.496 0.000
-2.155 0.000 7.182
Na Al Cr Se
2 1 2 6
Cartesian
3.155 3.670 0.000
3.155 -3.670 0.000
-1.077 0.000 3.591
2.077 1.849 3.591
2.077 -1.849 3.591
-0.011 1.854 5.030
1.039 0.000 2.171
-0.011 -1.854 5.030
4.166 1.854 2.152
3.116 0.000 5.011
4.166 -1.854 2.152
```

M_tot (μB per cell): 5.309
SG: No. 12
Energy (eV for the cell shown): -55.1
Crystal system: monoclinic


First-principles (PBE-GGA) data for an optimized crystal structure of LaHo4Er4, as listed in Alexandria via LeMat-Bulk.

Geometry as POSCAR:
```
LaHo4Er4
1.0
-5.322 5.322 2.501
5.322 -5.322 2.501
5.322 5.322 -2.501
La Ho Er
1 4 4
Cartesian
0.000 0.000 0.000
3.566 0.000 0.000
7.077 0.000 0.000
0.000 3.566 0.000
0.000 7.077 0.000
3.525 3.525 0.000
1.796 -1.796 2.501
-1.796 1.796 2.501
1.796 1.796 2.501
```

M_tot (μB per cell): 0.000
SG: No. 139
Energy (eV for the cell shown): -41.2
Crystal system: tetragonal


First-principles (PBE-GGA) data for an optimized crystal structure of K2TbRe3O12, as listed in Alexandria via LeMat-Bulk.

Geometry as POSCAR:
```
K2TbRe3O12
1.0
3.705 2.139 6.204
-3.705 2.139 6.204
0.000 -4.278 6.204
K Tb Re O
2 1 3 12
Cartesian
0.000 0.000 2.450
0.000 0.000 16.163
0.000 0.000 9.307
-1.852 -1.069 6.204
-1.852 1.069 12.409
0.000 2.139 6.204
-1.632 -0.942 8.046
0.000 -1.591 6.015
-1.378 0.796 6.015
0.000 -1.885 10.567
-1.632 0.942 10.567
-1.378 -0.796 12.598
1.378 0.796 6.015
1.632 -0.942 8.046
0.000 1.885 8.046
1.378 -0.796 12.598
0.000 1.591 12.598
1.632 0.942 10.567
```

M_tot (μB per cell): 0.826
SG: No. 166
Energy (eV for the cell shown): -138.0
Crystal system: trigonal


First-principles (PBE-GGA) data for an optimized crystal structure of ThMgCdHg6, as listed in Alexandria via LeMat-Bulk.

Geometry as POSCAR:
```
ThMgCdHg6
1.0
-3.133 5.245 7.691
3.133 -5.245 7.691
3.133 5.245 -7.691
Th Mg Cd Hg
2 2 2 12
Cartesian
0.000 2.622 3.174
3.133 2.622 4.517
3.133 0.000 0.000
0.000 0.000 7.691
1.567 2.622 -3.846
1.567 -2.622 3.846
1.522 -0.096 2.289
4.745 -0.096 2.289
3.133 -2.622 7.568
3.133 2.622 1.229
1.522 5.149 -2.289
1.611 -0.096 5.402
1.522 5.341 2.289
1.611 0.096 9.981
0.000 2.622 6.462
0.000 7.867 0.123
-1.611 5.341 5.402
1.611 5.341 5.402
```

M_tot (μB per cell): 0.000
SG: No. 74
Energy (eV for the cell shown): -22.8
Crystal system: orthorhombic


First-principles (PBE-GGA) data for an optimized crystal structure of InSiOs2, as listed in Alexandria via LeMat-Bulk.

Geometry as POSCAR:
```
InSiOs2
1.0
9.088 0.000 0.000
0.000 2.975 0.000
-1.833 0.000 4.804
In Si Os
2 2 4
Cartesian
0.000 0.000 0.000
4.544 1.488 0.000
1.573 1.488 2.119
6.117 0.000 2.119
0.594 0.000 3.794
3.565 0.000 2.126
5.138 1.488 3.794
8.108 1.488 2.126
```

M_tot (μB per cell): 0.000
SG: No. 8
Energy (eV for the cell shown): -58.8
Crystal system: monoclinic


First-principles (PBE-GGA) data for an optimized crystal structure of LiCa2Au, as listed in Alexandria via LeMat-Bulk.

Geometry as POSCAR:
```
LiCa2Au
1.0
12.586 0.000 0.000
0.000 3.695 0.000
-2.081 0.000 4.685
Li Ca Au
2 4 2
Cartesian
0.000 0.000 0.000
6.293 1.848 0.000
0.073 1.848 2.839
3.299 1.848 1.471
6.367 0.000 2.839
9.593 0.000 1.471
2.385 0.000 3.870
8.679 1.848 3.870
```

M_tot (μB per cell): 0.000
SG: No. 8
Energy (eV for the cell shown): -21.5
Crystal system: monoclinic


First-principles (PBE-GGA) data for an optimized crystal structure of TbHoSn2, as listed in Alexandria via LeMat-Bulk.

Geometry as POSCAR:
```
TbHoSn2
1.0
3.472 0.000 0.000
0.000 3.472 0.000
0.000 0.000 8.790
Tb Ho Sn
1 1 2
Cartesian
0.000 0.000 0.000
0.000 0.000 4.395
1.736 1.736 2.216
1.736 1.736 6.575
```

M_tot (μB per cell): 0.000
SG: No. 123
Energy (eV for the cell shown): -19.7
Crystal system: tetragonal


First-principles (PBE-GGA) data for an optimized crystal structure of Sr3In, as listed in Alexandria via LeMat-Bulk.

Geometry as POSCAR:
```
Sr3In
1.0
14.240 0.000 0.000
0.000 14.240 0.000
0.000 0.000 6.972
Sr In
24 8
Cartesian
0.375 8.243 1.651
1.123 13.865 5.136
1.657 3.046 0.154
1.917 9.505 5.118
2.385 12.323 1.632
3.046 5.463 3.332
4.074 1.657 3.332
4.736 9.037 1.632
5.203 11.856 5.118
5.463 4.074 0.154
5.997 7.495 5.136
6.745 13.117 1.651
7.495 1.123 5.321
8.243 6.745 1.835
8.777 10.166 6.818
9.037 2.385 1.854
9.505 5.203 5.340
10.166 12.584 3.640
11.194 8.777 3.640
11.856 1.917 5.340
12.323 4.736 1.854
12.584 11.194 6.818
13.117 0.375 1.835
13.865 5.997 5.321
0.607 2.885 3.644
2.885 6.513 6.813
4.236 0.607 6.813
6.513 4.236 3.644
7.727 10.005 3.328
10.005 13.633 0.158
11.356 7.727 0.158
13.633 11.356 3.328
```

M_tot (μB per cell): 0.006
SG: No. 86
Energy (eV for the cell shown): -69.5
Crystal system: tetragonal


First-principles (PBE-GGA) data for an optimized crystal structure of LuMgScFe, as listed in Alexandria via LeMat-Bulk.

Geometry as POSCAR:
```
LuMgScFe
1.0
6.770 0.000 0.000
0.000 6.770 0.000
0.000 0.000 6.770
Lu Mg Sc Fe
4 4 4 4
Cartesian
0.000 0.000 0.000
0.000 3.385 3.385
3.385 0.000 3.385
3.385 3.385 0.000
1.692 1.692 5.077
1.692 5.077 1.692
5.077 1.692 1.692
5.077 5.077 5.077
0.000 0.000 3.385
0.000 3.385 0.000
3.385 0.000 0.000
3.385 3.385 3.385
1.692 1.692 1.692
1.692 5.077 5.077
5.077 1.692 5.077
5.077 5.077 1.692
```

M_tot (μB per cell): 0.012
SG: No. 216
Energy (eV for the cell shown): -82.2
Crystal system: cubic


First-principles (PBE-GGA) data for an optimized crystal structure of CoSe2Br, as listed in Alexandria via LeMat-Bulk.

Geometry as POSCAR:
```
CoSe2Br
1.0
7.141 0.000 0.000
0.000 5.025 0.000
-7.066 0.000 12.737
Co Se Br
4 8 4
Cartesian
-1.497 1.213 3.182
-5.030 1.299 9.550
5.105 3.726 3.187
1.572 3.812 9.556
0.142 2.776 2.453
-3.391 4.762 8.822
-3.382 2.863 10.258
0.151 4.675 3.890
-0.075 0.351 8.848
3.458 2.162 2.479
3.467 0.263 3.915
-0.066 2.249 10.284
-5.286 0.044 11.621
-1.754 2.468 5.252
1.829 2.557 7.485
5.362 4.981 1.117
```

M_tot (μB per cell): 1.776
SG: No. 14
Energy (eV for the cell shown): -64.5
Crystal system: monoclinic


First-principles (PBE-GGA) data for an optimized crystal structure of GdTmCdOs, as listed in Alexandria via LeMat-Bulk.

Geometry as POSCAR:
```
GdTmCdOs
1.0
7.080 0.000 0.000
0.000 7.080 0.000
0.000 0.000 7.080
Gd Tm Cd Os
4 4 4 4
Cartesian
0.000 0.000 0.000
0.000 3.540 3.540
3.540 0.000 3.540
3.540 3.540 0.000
0.000 0.000 3.540
0.000 3.540 0.000
3.540 0.000 0.000
3.540 3.540 3.540
1.770 1.770 1.770
1.770 5.310 5.310
5.310 1.770 5.310
5.310 5.310 1.770
1.770 1.770 5.310
1.770 5.310 1.770
5.310 1.770 1.770
5.310 5.310 5.310
```

M_tot (μB per cell): 28.322
SG: No. 216
Energy (eV for the cell shown): -126.1
Crystal system: cubic


First-principles (PBE-GGA) data for an optimized crystal structure of Li2WAu, as listed in Alexandria via LeMat-Bulk.

Geometry as POSCAR:
```
Li2WAu
1.0
9.442 0.000 0.000
0.000 2.672 0.000
-0.603 0.000 5.078
Li W Au
4 2 2
Cartesian
0.000 0.000 0.000
1.777 0.000 4.131
4.721 1.336 0.000
6.498 1.336 4.131
4.273 0.000 2.482
8.994 1.336 2.482
2.046 1.336 1.559
6.767 0.000 1.559
```

M_tot (μB per cell): 0.000
SG: No. 8
Energy (eV for the cell shown): -37.8
Crystal system: monoclinic


First-principles (PBE-GGA) data for an optimized crystal structure of Pr11Cd9Hg4, as listed in Alexandria via LeMat-Bulk.

Geometry as POSCAR:
```
Pr11Cd9Hg4
1.0
7.699 -11.648 0.000
7.699 11.648 0.000
0.000 0.000 3.855
Pr Cd Hg
11 9 4
Cartesian
0.000 0.000 0.000
3.653 4.065 0.000
7.699 7.750 0.000
4.119 0.000 0.000
7.699 3.343 0.000
3.653 -4.065 0.000
11.745 4.065 0.000
7.699 -3.343 0.000
11.279 0.000 0.000
7.699 -7.750 0.000
11.745 -4.065 0.000
2.006 1.806 1.927
6.050 5.571 1.927
2.006 -1.806 1.927
9.348 5.571 1.927
7.699 0.000 1.927
6.050 -5.571 1.927
13.392 1.806 1.927
9.348 -5.571 1.927
13.392 -1.806 1.927
5.434 2.201 1.927
5.434 -2.201 1.927
9.964 2.201 1.927
9.964 -2.201 1.927
```

M_tot (μB per cell): 0.313
SG: No. 65
Energy (eV for the cell shown): -70.4
Crystal system: orthorhombic


First-principles (PBE-GGA) data for an optimized crystal structure of Hf4PbN, as listed in Alexandria via LeMat-Bulk.

Geometry as POSCAR:
```
Hf4PbN
1.0
3.887 -6.469 0.000
3.887 6.469 0.000
-2.587 0.000 4.861
Hf Pb N
8 2 2
Cartesian
0.613 3.794 4.200
-0.351 0.741 3.352
0.943 -0.741 0.922
3.281 3.794 3.091
1.906 -3.794 1.769
4.245 0.741 3.939
5.538 -0.741 1.509
4.574 -3.794 0.661
3.240 1.289 1.215
1.947 -1.289 3.645
1.947 5.632 3.645
3.240 -5.632 1.215
```

M_tot (μB per cell): 0.000
SG: No. 15
Energy (eV for the cell shown): -109.0
Crystal system: monoclinic


First-principles (PBE-GGA) data for an optimized crystal structure of Ca2CdO, as listed in Alexandria via LeMat-Bulk.

Geometry as POSCAR:
```
Ca2CdO
1.0
6.863 0.000 0.000
0.000 6.863 0.000
0.000 0.000 8.856
Ca Cd O
8 4 4
Cartesian
0.878 5.147 1.107
1.716 0.878 7.749
1.716 2.554 3.321
2.554 5.147 5.535
4.309 1.716 5.535
5.147 4.309 3.321
5.147 5.985 7.749
5.985 1.716 1.107
0.000 0.000 4.428
0.000 3.432 6.642
3.432 0.000 2.214
3.432 3.432 0.000
0.000 0.000 0.000
0.000 3.432 2.214
3.432 0.000 6.642
3.432 3.432 4.428
```

M_tot (μB per cell): 0.000
SG: No. 122
Energy (eV for the cell shown): -62.9
Crystal system: tetragonal


First-principles (PBE-GGA) data for an optimized crystal structure of NaLiDyGa, as listed in Alexandria via LeMat-Bulk.

Geometry as POSCAR:
```
NaLiDyGa
1.0
7.130 0.000 0.000
0.000 7.130 0.000
0.000 0.000 7.130
Na Li Dy Ga
4 4 4 4
Cartesian
0.000 0.000 0.000
0.000 3.565 3.565
3.565 0.000 3.565
3.565 3.565 0.000
1.782 1.782 5.347
1.782 5.347 1.782
5.347 1.782 1.782
5.347 5.347 5.347
0.000 0.000 3.565
0.000 3.565 0.000
3.565 0.000 0.000
3.565 3.565 3.565
1.782 1.782 1.782
1.782 5.347 5.347
5.347 1.782 5.347
5.347 5.347 1.782
```

M_tot (μB per cell): 0.000
SG: No. 216
Energy (eV for the cell shown): -44.9
Crystal system: cubic


First-principles (PBE-GGA) data for an optimized crystal structure of SiPRh, as listed in Alexandria via LeMat-Bulk.

Geometry as POSCAR:
```
SiPRh
1.0
3.090 0.000 0.000
-1.545 2.676 0.000
0.000 0.000 5.115
Si P Rh
1 1 1
Cartesian
0.000 0.000 0.000
1.545 0.892 1.660
0.000 1.784 3.371
```

M_tot (μB per cell): 0.000
SG: No. 156
Energy (eV for the cell shown): -19.1
Crystal system: trigonal


First-principles (PBE-GGA) data for an optimized crystal structure of Ac4As2I3, as listed in Alexandria via LeMat-Bulk.

Geometry as POSCAR:
```
Ac4As2I3
1.0
3.962 -2.287 0.000
3.962 2.287 0.000
-0.020 0.000 19.705
Ac As I
4 2 3
Cartesian
0.000 0.000 5.699
2.641 0.000 2.375
5.262 0.000 17.330
7.903 0.000 14.006
2.621 0.000 15.704
5.283 0.000 4.001
0.000 0.000 0.000
2.642 0.000 7.862
5.262 0.000 11.843
```

M_tot (μB per cell): 0.000
SG: No. 12
Energy (eV for the cell shown): -43.1
Crystal system: monoclinic


First-principles (PBE-GGA) data for an optimized crystal structure of CoGe, as listed in Alexandria via LeMat-Bulk.

Geometry as POSCAR:
```
CoGe
1.0
5.265 0.000 0.000
0.000 5.265 0.000
0.000 0.000 5.265
Co Ge
4 4
Cartesian
0.000 0.000 0.000
0.000 2.633 2.633
2.633 0.000 2.633
2.633 2.633 0.000
1.316 1.316 3.949
1.316 3.949 1.316
3.949 1.316 1.316
3.949 3.949 3.949
```

M_tot (μB per cell): 0.000
SG: No. 216
Energy (eV for the cell shown): -43.1
Crystal system: cubic


First-principles (PBE-GGA) data for an optimized crystal structure of Zr2VCrRu, as listed in Alexandria via LeMat-Bulk.

Geometry as POSCAR:
```
Zr2VCrRu
1.0
5.001 0.000 0.000
0.000 5.001 0.000
0.000 0.000 4.429
Zr V Cr Ru
2 1 1 1
Cartesian
0.000 2.500 0.000
2.500 0.000 0.000
0.000 0.000 2.215
2.500 2.500 2.215
0.000 0.000 0.000
```

M_tot (μB per cell): 1.512
SG: No. 123
Energy (eV for the cell shown): -39.8
Crystal system: tetragonal


First-principles (PBE-GGA) data for an optimized crystal structure of LiTcOsW, as listed in Alexandria via LeMat-Bulk.

Geometry as POSCAR:
```
LiTcOsW
1.0
6.099 0.000 0.000
0.000 6.099 0.000
0.000 0.000 6.099
Li Tc Os W
4 4 4 4
Cartesian
0.000 0.000 0.000
0.000 3.049 3.049
3.049 0.000 3.049
3.049 3.049 0.000
1.525 1.525 1.525
1.525 4.574 4.574
4.574 1.525 4.574
4.574 4.574 1.525
1.525 1.525 4.574
1.525 4.574 1.525
4.574 1.525 1.525
4.574 4.574 4.574
0.000 0.000 3.049
0.000 3.049 0.000
3.049 0.000 0.000
3.049 3.049 3.049
```

M_tot (μB per cell): 0.000
SG: No. 216
Energy (eV for the cell shown): -144.1
Crystal system: cubic


First-principles (PBE-GGA) data for an optimized crystal structure of GaTeW2Se, as listed in Alexandria via LeMat-Bulk.

Geometry as POSCAR:
```
GaTeW2Se
1.0
4.700 0.000 0.000
0.000 4.700 0.000
0.000 0.000 5.741
Ga Te W Se
1 1 2 1
Cartesian
0.000 0.000 0.000
2.350 2.350 0.000
0.000 2.350 2.870
2.350 0.000 2.870
2.350 2.350 2.870
```

M_tot (μB per cell): 3.288
SG: No. 123
Energy (eV for the cell shown): -26.9
Crystal system: tetragonal


First-principles (PBE-GGA) data for an optimized crystal structure of NaTc2Os, as listed in Alexandria via LeMat-Bulk.

Geometry as POSCAR:
```
NaTc2Os
1.0
7.351 0.000 0.000
0.000 7.351 0.000
0.000 0.000 5.393
Na Tc Os
4 8 4
Cartesian
0.000 0.000 0.000
0.000 3.675 1.348
3.675 0.000 4.045
3.675 3.675 2.697
1.413 1.838 3.371
1.838 5.089 4.719
1.838 5.937 2.022
2.262 1.838 0.674
5.089 5.513 0.674
5.513 1.413 2.022
5.513 2.262 4.719
5.937 5.513 3.371
0.000 0.000 2.697
0.000 3.675 4.045
3.675 0.000 1.348
3.675 3.675 0.000
```

M_tot (μB per cell): 0.000
SG: No. 122
Energy (eV for the cell shown): -116.2
Crystal system: tetragonal